Compound: Mg4CoIr
Source: Alexandria
Functional: meta-GGA SCAN
Structure: single point on PBEsol structure

Structure (POSCAR):
```
Mg4CoIr
1.0
0.000 3.682 3.682
3.682 0.000 3.682
3.682 3.682 0.000
Mg Co Ir
4 1 1
Cartesian
0.921 0.921 0.921
2.761 2.761 0.921
2.761 0.921 2.761
0.921 2.761 2.761
5.524 5.524 5.524
3.682 3.682 3.682
```

SG: F-43m, No. 216
Density (Mg/m³): 5.8
Electronic total energy (eV per atom): -17.57
Energy of formation (meV per atom): 475.5